! VO2F, optimized geometry, DFT PBE+U; values from VASP
&SYSTEM
  ibrav = 0, nat = 4, ntyp = 3
/
ATOMIC_SPECIES
V 50.94 V.upf
O 16.00 O.upf
F 19.00 F.upf
ATOMIC_POSITIONS crystal
V 0.000 0.000 0.000
O 0.381 0.381 0.381
O 0.619 0.619 0.619
F 0.500 0.500 0.500
CELL_PARAMETERS angstrom
1.476 0.852 6.710
-1.476 0.852 6.710
0.000 -1.705 6.710
! - electronic total energy (eV/cell) = -23.74
! - space group = R-3m, No. 166
! - density (kg/m³) = 3341
! - total moment (μB per atom) = 0.0000